# 1
First-principles (GGA-PBE) data for a relaxed ScBeFe2 crystal, as listed in the Alexandria database.

Unit cell a=4.668 b=4.668 c=4.668 alpha=133.71 beta=133.71 gamma=67.54
Site moments in Bohr magnetons follow the coordinates.
Fractional coordinates of all 4 atoms:
Sc 0.250 0.750 0.500  -0.18
Be 0.750 0.250 0.500  -0.07
Fe 0.000 0.000 0.000  2.15
Fe 0.500 0.500 0.000  2.15

Summary:
V: 13.07 Å³ per atom
Formation energy from the elements: 0.078 eV per atom

---

# 2
First-principles (GGA-PBE) data for a relaxed Ce3Pr2ErBi6 crystal, as listed in the Alexandria database.

Unit cell a=7.953 b=7.953 c=7.951 alpha=99.61 beta=99.61 gamma=120.01
Site moments in Bohr magnetons follow the coordinates.
Fractional coordinates of all 12 atoms:
Ce 0.170 0.830 0.500  0.82
Ce 0.830 0.170 0.500  0.82
Ce 0.500 0.500 0.500  0.82
Pr 0.334 0.666 0.000  0.00
Pr 0.666 0.334 0.000  0.00
Er 0.000 0.000 0.000  -0.01
Bi 0.918 0.591 0.751  -0.02
Bi 0.758 0.758 0.252  -0.02
Bi 0.082 0.409 0.249  -0.02
Bi 0.591 0.918 0.751  -0.02
Bi 0.242 0.242 0.748  -0.02
Bi 0.409 0.082 0.249  -0.02

Summary:
V: 34.20 Å³ per atom
Formation energy from the elements: -0.850 eV per atom

---

# 3
First-principles (GGA-PBE) data for a relaxed KSi3Rh crystal, as listed in the Alexandria database.

Unit cell a=4.996 b=4.996 c=4.996 alpha=90.00 beta=90.00 gamma=90.00
Site moments in Bohr magnetons follow the coordinates.
Fractional coordinates of all 5 atoms:
K 0.000 0.000 0.000  0.00
Rh 0.500 0.500 0.500  0.40
Si 0.000 0.500 0.000  0.00
Si 0.000 0.000 0.500  0.00
Si 0.500 0.000 0.000  0.00

Summary:
V: 24.94 Å³ per atom
Relative energy among the computed polymorphs: 2.095 eV per atom

---

# 4
First-principles (GGA-PBE) data for a relaxed KPaSeO6 crystal, as listed in the Alexandria database.

Unit cell a=5.514 b=5.514 c=11.549 alpha=90.00 beta=90.00 gamma=120.00
Fractional coordinates of all 18 atoms:
K 0.000 0.000 0.000
K 0.000 0.000 0.500
Pa 0.333 0.667 0.250
Pa 0.667 0.333 0.750
Se 0.667 0.333 0.250
Se 0.333 0.667 0.750
O 0.645 0.596 0.159
O 0.950 0.355 0.159
O 0.355 0.950 0.659
O 0.050 0.645 0.841
O 0.404 0.355 0.341
O 0.950 0.596 0.341
O 0.596 0.950 0.841
O 0.645 0.050 0.341
O 0.050 0.404 0.659
O 0.404 0.050 0.159
O 0.596 0.645 0.659
O 0.355 0.404 0.841

Summary:
V: 16.89 Å³ per atom
Electronic total energy: -0.248 Ha/atom